1.
Below is a geometry-optimized BaLiMoN2 structure, with properties calculated at the PBE-GGA level.

abc: 5.3409 6.4855 5.1162
angles: 90.00 90.00 114.32
Last column: nearest neighbours and their distance in Å.
Element x y z (fractional)
Ba (0.7500, 0.5000, 0.7445)  6 N 2.92-3.22, 2 Li 3.21
Ba (0.2500, 0.5000, 0.2555)  6 N 2.92-3.22, 2 Li 3.21
N (0.4004, 0.8009, 0.8029)  1 Li 1.95, 2 Mo 2.05
N (0.5996, 0.1991, 0.1971)  1 Li 1.95, 2 Mo 2.05
N (0.9004, 0.8009, 0.1971)  1 Li 1.95, 2 Mo 2.05
N (0.0996, 0.1991, 0.8029)  1 Li 1.95, 2 Mo 2.05
Mo (0.7500, 0.0000, 0.0000)  4 N 2.05
Mo (0.2500, 0.0000, 0.0000)  4 N 2.05
Li (0.0000, 0.0000, 0.5000)  2 N 1.95
Li (0.5000, 0.0000, 0.5000)  2 N 1.95

Computed properties:
Crystal system: orthorhombic

=====

2.
Below is a geometry-optimized Tm6SnSe2S3 structure, with properties calculated at the PBE-GGA level.

abc: 3.9170 8.1185 8.9677
angles: 103.76 102.61 90.00
Last column: nearest neighbours and their distance in Å.
Element x y z (fractional)
Se (0.1696, 0.3356, 0.3391)  6 Tm 2.88-2.96
Se (0.8304, 0.6644, 0.6609)  6 Tm 2.88-2.96
Tm (0.0041, 0.7305, 0.0082)  3 S 2.70-2.76, 2 Sn 2.95, 1 Se 2.96
Tm (0.6731, 0.0668, 0.3462)  3 S 2.73-2.75, 2 Se 2.94, 1 Sn 2.95
Tm (0.6611, 0.5936, 0.3222)  3 S 2.71-2.74, 3 Se 2.88-2.90
Tm (0.3389, 0.4064, 0.6778)  3 S 2.71-2.74, 3 Se 2.88-2.90
Tm (0.9959, 0.2695, 0.9918)  3 S 2.70-2.76, 2 Sn 2.95, 1 Se 2.96
Tm (0.3269, 0.9332, 0.6538)  3 S 2.73-2.75, 2 Se 2.94, 1 Sn 2.95
S (0.1667, 0.8268, 0.3334)  6 Tm 2.71-2.76
S (0.5000, 0.5000, 0.0000)  6 Tm 2.70-2.74
S (0.8333, 0.1732, 0.6666)  6 Tm 2.71-2.76
Sn (0.5000, 0.0000, 0.0000)  6 Tm 2.95

Computed properties:
Crystal system: monoclinic

=====

| no. | formation energy from raw total energies (eV/atom) |
| --- | --- |
| 1 | -0.4119 |
| 2 | -1.6195 |